(1)
14
Lattice="6.464 0.000 0.117 0.000 6.192 0.000 -2.365 0.000 7.249" Properties=species:S:1:pos:R:3 comment="CeUPdS4, relaxed, DFT GGA-PBE" sg="P2_1/m, No. 11" total_magnetization_mub_per_cell=4.5 formation_energy_uncorrected_mev_per_atom=-1300 pbc="T T T"
Ce 2.744 4.644 6.936
Ce 1.355 1.548 0.431
U 3.914 4.644 3.293
U 0.184 1.548 4.073
Pd 0.782 4.644 2.302
Pd 3.316 1.548 5.064
S -1.548 3.219 5.404
S 5.647 0.123 1.962
S 5.647 2.973 1.962
S -1.548 6.068 5.404
S 2.693 4.644 0.895
S 1.405 1.548 6.471
S 1.533 4.644 4.540
S 2.565 1.548 2.826

---

(2)
20
Lattice="-1.163 -3.055 -7.655 2.002 -6.505 4.792 -7.476 2.565 2.612" Properties=species:S:1:pos:R:3 comment="CeU3Pd4S12, relaxed, DFT GGA-PBE" sg="R32, No. 155" total_magnetization_mub_per_cell=0.2 formation_energy_uncorrected_mev_per_atom=-797 pbc="T T T"
Ce 0.000 0.000 0.000
U 0.217 -4.560 -2.227
U -4.723 0.114 -1.865
U -2.131 -2.549 3.841
Pd -4.615 -2.084 -5.226
Pd -5.905 -1.195 4.081
Pd 0.565 -7.214 0.768
Pd -3.318 -3.498 -0.125
S -4.908 -1.976 -0.491
S -0.730 -5.802 -4.335
S -2.021 -4.912 4.978
S -7.205 0.222 -1.019
S -0.141 -6.769 2.924
S -7.006 -0.233 2.291
S -3.029 -3.724 -5.599
S 0.625 -7.041 -1.537
S -4.373 -2.539 5.172
S -5.986 -0.680 -4.003
S -2.260 -4.441 -1.848
S -2.787 -4.076 1.963

---

(3)
18
Lattice="-1.017 -3.674 0.729 3.405 -0.420 -7.698 10.745 -2.008 4.863" Properties=species:S:1:pos:R:3 comment="Ce2YPdS5, relaxed, DFT GGA-PBE" sg="Cmc2_1, No. 36" total_magnetization_mub_per_cell=2.3 formation_energy_uncorrected_mev_per_atom=-1716 pbc="T T T"
Ce 10.897 -5.308 -1.216
Ce 8.189 -1.945 1.619
Ce 4.411 -1.202 0.095
Ce 3.806 -3.945 -4.240
Y 7.015 -4.355 -1.830
Y 1.295 -0.846 -2.458
Pd 9.678 -3.921 4.071
Pd 7.105 -2.865 -4.525
S 2.217 -1.588 -4.909
S 9.834 -4.437 1.686
S 10.823 -3.724 -3.672
S 9.160 -2.759 -1.126
S 7.959 -5.109 -4.312
S 6.015 -3.599 0.586
S 5.615 -2.099 -2.744
S 2.095 -2.339 1.469
S 2.642 -3.096 -1.582
S 0.289 -0.081 -0.005

---

(4)
18
Lattice="-2.348 -1.683 -2.526 5.801 -5.966 1.499 -6.498 -4.111 8.782" Properties=species:S:1:pos:R:3 comment="Ce2ZrPdS5, relaxed, DFT GGA-PBE" sg="Cmc2_1, No. 36" total_magnetization_mub_per_cell=3.4 formation_energy_uncorrected_mev_per_atom=-1615 pbc="T T T"
Ce -3.009 -9.385 6.138
Ce -3.465 -4.416 6.164
Ce -0.977 -2.971 2.888
Ce 1.124 -6.900 0.639
Zr -1.621 -7.223 3.406
Zr 1.632 -2.603 0.218
Pd -6.655 -5.572 6.986
Pd 1.195 -7.717 4.033
S 3.164 -4.807 0.263
S -4.897 -7.084 6.359
S -0.359 -9.859 6.905
S -1.632 -6.764 6.026
S -0.514 -9.427 3.846
S -3.104 -4.990 3.296
S 0.458 -5.558 3.279
S -2.812 -1.982 1.020
S -0.379 -4.342 0.331
S -0.022 -0.745 0.517

---

(5)
10
Lattice="5.244 0.000 0.000 0.000 5.244 0.000 -2.622 -2.622 9.079" Properties=species:S:1:pos:R:3 comment="CeSbPd3, relaxed, DFT GGA-PBE" sg="I-4m2, No. 119" total_magnetization_mub_per_cell=1.9 formation_energy_uncorrected_mev_per_atom=-395 pbc="T T T"
Ce 2.622 0.000 2.152
Ce 2.622 0.000 6.927
Sb 0.000 0.000 0.000
Sb 0.000 2.622 4.540
Pd 1.291 2.622 6.803
Pd 0.000 3.913 2.277
Pd 0.000 1.331 2.277
Pd -1.291 2.622 6.803
Pd 0.000 0.000 5.404
Pd 2.622 2.622 3.676

---

(6)
4
Lattice="-2.918 2.395 -1.311 -3.055 -1.717 3.664 1.633 3.677 3.085" Properties=species:S:1:pos:R:3 comment="Ce2SbPd, relaxed, DFT GGA-PBE" sg="P4/mmm, No. 123" total_magnetization_mub_per_cell=2.4 formation_energy_uncorrected_mev_per_atom=-699 e_above_lowest_polymorph_ev_per_fu=0.00 pbc="T T T"
Sb -2.170 2.178 2.719
Pd -1.459 1.198 -0.655
Ce 0.816 1.839 1.542
Ce -1.527 -0.858 1.832